Entry 1:
Computed, not measured: an optimized crystal structure of BaSnGeAu2 at the PBE-GGA level of DFT.

Summary:
Space group ... P4/nmm (129)
ΔE to the lowest computed polymorph ... 0.00 eV per formula unit

Lattice parameters (Å, degrees): 4.7396 4.7396 11.1904 90.00 90.00 90.00
Sites, in units of the cell vectors:
Ba 0.2500 0.2500 0.2343
Ba 0.7500 0.7500 0.7657
Sn 0.2500 0.7500 0.5000
Sn 0.7500 0.2500 0.5000
Ge 0.2500 0.2500 0.8819
Ge 0.7500 0.7500 0.1181
Au 0.2500 0.2500 0.6482
Au 0.2500 0.7500 0.0000
Au 0.7500 0.2500 0.0000
Au 0.7500 0.7500 0.3518

Entry 2:
Computed, not measured: an optimized crystal structure of NdSmAgS3 at the PBE-GGA level of DFT.

Summary:
Space group ... C2/m (12)
ΔE to the lowest computed polymorph ... 0.00 eV per formula unit

Lattice parameters (Å, degrees): 8.9250 8.9250 8.2635 102.44 102.44 25.05
Sites, in units of the cell vectors:
Nd 0.1350 0.1350 0.0731
Nd 0.8650 0.8650 0.9269
Sm 0.1638 0.1638 0.5918
Sm 0.8362 0.8362 0.4082
Ag 0.4719 0.4719 0.2844
Ag 0.5281 0.5281 0.7156
S 0.0000 0.0000 0.5000
S 0.3148 0.3148 0.1505
S 0.3301 0.3301 0.6569
S 0.5000 0.5000 0.0000
S 0.6699 0.6699 0.3431
S 0.6852 0.6852 0.8495